# 1
Zn2NiP, single point on PBEsol structure, DFT meta-GGA SCAN; space group = P4/mmm, No. 123
1.0
3.281 0.000 0.000
0.000 3.281 0.000
0.000 0.000 4.754
Zn Ni P
2 1 1
Cartesian
0.000 0.000 1.171 Zn
0.000 0.000 3.582 Zn
1.640 1.640 0.000 Ni
1.640 1.640 2.377 P


# 2
Zn2NiP, single point on PBEsol structure, DFT meta-GGA SCAN; space group = R-3m, No. 166
1.0
1.360 0.785 8.163
-1.360 0.785 8.163
0.000 -1.571 8.163
Zn Ni P
2 1 1
Cartesian
0.000 0.000 5.966 Zn
0.000 0.000 18.524 Zn
0.000 0.000 12.245 Ni
0.000 0.000 0.000 P


# 3
Zn2NiP, single point on PBEsol structure, DFT meta-GGA SCAN; space group = P4/mmm, No. 123
1.0
3.697 0.000 0.000
0.000 3.697 0.000
0.000 0.000 3.672
Zn Ni P
2 1 1
Cartesian
0.000 1.849 0.000 Zn
1.849 0.000 0.000 Zn
0.000 0.000 1.836 Ni
1.849 1.849 1.836 P


# 4
ZnNi2P, single point on PBEsol structure, DFT meta-GGA SCAN; ΔE to the lowest computed polymorph = 0.0234 eV/atom; space group = P4/mmm, No. 123
1.0
3.820 0.000 0.000
0.000 3.820 0.000
0.000 0.000 3.062
Zn Ni P
1 2 1
Cartesian
0.000 0.000 0.000 Zn
0.000 1.910 1.531 Ni
1.910 0.000 1.531 Ni
1.910 1.910 0.000 P


# 5
ZnNi2P, single point on PBEsol structure, DFT meta-GGA SCAN; ΔE to the lowest computed polymorph = 0.0000 eV/atom; space group = P4/mmm, No. 123
1.0
2.781 0.000 0.000
0.000 2.781 0.000
0.000 0.000 5.867
Zn Ni P
1 2 1
Cartesian
0.000 0.000 0.000 Zn
1.391 1.391 1.668 Ni
1.391 1.391 4.199 Ni
0.000 0.000 2.934 P


# 6
ZnNi2P, single point on PBEsol structure, DFT meta-GGA SCAN; ΔE to the lowest computed polymorph = 0.0367 eV/atom; space group = I-4m2, No. 119
1.0
-1.714 1.714 3.808
1.714 -1.714 3.808
1.714 1.714 -3.808
Zn Ni P
1 2 1
Cartesian
0.000 0.000 0.000 Zn
0.000 0.000 3.808 Ni
0.000 1.714 1.904 Ni
1.714 0.000 1.904 P


# 7
ZrNiP, single point on PBEsol structure, DFT meta-GGA SCAN; space group = P6_3/mmc, No. 194
1.0
3.721 0.000 0.000
-1.860 3.222 0.000
0.000 0.000 7.210
Zr Ni P
2 2 2
Cartesian
0.000 0.000 0.000 Zr
0.000 0.000 3.605 Zr
0.000 2.148 1.802 Ni
1.860 1.074 5.407 Ni
0.000 2.148 5.407 P
1.860 1.074 1.802 P


# 8
ZrNiP, single point on PBEsol structure, DFT meta-GGA SCAN; space group = P6_3/mmc, No. 194
1.0
4.459 0.000 0.000
-2.230 3.862 0.000
0.000 0.000 5.125
Zr Ni P
2 2 2
Cartesian
0.000 2.575 1.281 Zr
2.230 1.287 3.844 Zr
0.000 0.000 0.000 Ni
0.000 0.000 2.563 Ni
0.000 2.575 3.844 P
2.230 1.287 1.281 P


# 9
ZrNiP, single point on PBEsol structure, DFT meta-GGA SCAN; space group = F-43m, No. 216
1.0
0.000 2.842 2.842
2.842 0.000 2.842
2.842 2.842 0.000
Zr Ni P
1 1 1
Cartesian
0.000 0.000 0.000 Zr
4.263 4.263 4.263 Ni
2.842 2.842 2.842 P


# 10
Zr9Ni2P4, single point on PBEsol structure, DFT meta-GGA SCAN; space group = P4/mbm, No. 127
1.0
11.927 0.000 0.000
0.000 11.927 0.000
0.000 0.000 3.649
Zr Ni P
18 4 8
Cartesian
0.000 0.000 0.000 Zr
1.152 4.812 0.000 Zr
1.227 2.154 1.825 Zr
1.424 7.388 1.825 Zr
2.154 10.700 1.825 Zr
3.810 4.736 1.825 Zr
4.540 1.424 1.825 Zr
4.736 8.117 1.825 Zr
4.812 10.776 0.000 Zr
5.964 5.964 0.000 Zr
7.115 1.152 0.000 Zr
7.191 3.810 1.825 Zr
7.388 10.503 1.825 Zr
8.117 7.191 1.825 Zr
9.774 1.227 1.825 Zr
10.503 4.540 1.825 Zr
10.700 9.774 1.825 Zr
10.776 7.115 0.000 Zr
2.931 8.895 0.000 Ni
3.032 2.931 0.000 Ni
8.895 8.996 0.000 Ni
8.996 3.032 0.000 Ni
0.670 9.246 0.000 P
2.681 0.670 0.000 P
3.283 6.633 0.000 P
5.294 3.283 0.000 P
6.633 8.645 0.000 P
8.645 5.294 0.000 P
9.246 11.258 0.000 P
11.258 2.681 0.000 P


# 11
PaNi2Sn, single point on PBEsol structure, DFT meta-GGA SCAN; space group = Fm-3m, No. 225
1.0
0.000 3.228 3.228
3.228 0.000 3.228
3.228 3.228 0.000
Pa Ni Sn
1 2 1
Cartesian
0.000 0.000 0.000 Pa
1.614 1.614 1.614 Ni
4.842 4.842 4.842 Ni
3.228 3.228 3.228 Sn


# 12
Ni2Pb, single point on PBEsol structure, DFT meta-GGA SCAN; space group = P6/mmm, No. 191
1.0
4.020 0.000 0.000
-2.010 3.481 0.000
0.000 0.000 3.292
Ni Pb
2 1
Cartesian
0.000 2.321 0.000 Ni
2.010 1.160 0.000 Ni
0.000 0.000 1.646 Pb


Record-wise formation enthalpy at 0 K values, in meV/atom: -17; 186; 30; -164; -188; -151; -1264; -605; -849; -1082; -320; 452